A geometry-optimized UTaS3 structure, computed with PBE-GGA.

Values from the calculation:
total magnetization = 1.7 μB/f.u.
raw total energy = -40.77 eV per formula unit
ΔE_f (raw) = -1.05 eV per atom
volume = 223.5 Å³ per cell

Cell: 3.5848 6.2609 10.1163 Å, 90.00 100.21 90.00°
Last column: magnetic moment on the atom in μB.
Fractional coordinates of all 10 atoms:
S: 0.9063 0.3546 0.8126  -0.02
S: 0.0937 0.8546 0.1874  -0.02
S: 0.4095 0.7944 0.8189  -0.04
S: 0.7520 0.6631 0.5039  -0.03
S: 0.2480 0.1631 0.4961  -0.03
S: 0.5905 0.2944 0.1811  -0.04
U: 0.1625 0.5014 0.3249  1.58
U: 0.8375 0.0014 0.6751  1.58
Ta: 0.3298 0.4806 0.6596  0.03
Ta: 0.6702 0.9806 0.3404  0.03

***

A geometry-optimized U2Ta2S7 structure, computed with PBE-GGA.

Values from the calculation:
total magnetization = 5.2 μB/f.u.
raw total energy = -86.38 eV per formula unit
ΔE_f (raw) = -1.02 eV per atom
volume = 202.0 Å³ per cell

Cell: 3.5327 8.2963 8.2963 Å, 58.96 77.71 77.71°
Last column: magnetic moment on the atom in μB.
Fractional coordinates of all 11 atoms:
Ta: 0.5000 0.3257 0.6743  0.04
Ta: 0.0000 0.7750 0.2250  0.15
U: 0.2642 0.3346 0.1370  2.37
U: 0.7358 0.8630 0.6654  2.37
S: 0.4020 0.6930 0.5031  -0.03
S: 0.1682 0.7146 0.9491  -0.06
S: 0.1307 0.1638 0.5749  -0.04
S: 0.5980 0.4969 0.3070  -0.03
S: 0.8318 0.0509 0.2854  -0.06
S: 0.5000 0.0111 0.9889  -0.03
S: 0.8693 0.4251 0.8362  -0.04

***

A geometry-optimized UTa2S8 structure, computed with PBE-GGA.

Values from the calculation:
total magnetization = 0.1 μB/f.u.
raw total energy = -75.85 eV per formula unit
ΔE_f (raw) = -0.71 eV per atom
volume = 364.5 Å³ per cell

Cell: 7.6140 7.4347 7.4347 Å, 120.00 90.00 90.00°
Last column: magnetic moment on the atom in μB.
Fractional coordinates of all 11 atoms:
S: 0.3045 0.6787 0.8393  0.01
S: 0.6955 0.8393 0.1607  0.01
S: 0.0680 0.6667 0.3333  0.01
S: 0.9320 0.3333 0.6667  0.01
S: 0.6955 0.3213 0.1607  0.01
S: 0.3045 0.1607 0.8393  0.01
S: 0.6955 0.8393 0.6787  0.01
S: 0.3045 0.1607 0.3213  0.01
Ta: 0.2173 0.3333 0.6667  0.00
Ta: 0.7827 0.6667 0.3333  0.00
U: 0.5000 0.0000 0.0000  -0.16

***

A geometry-optimized UTaS6 structure, computed with PBE-GGA.

Values from the calculation:
total magnetization = 0.0 μB/f.u.
raw total energy = -53.24 eV per formula unit
ΔE_f (raw) = -0.67 eV per atom
volume = 225.7 Å³ per cell

Cell: 6.7525 6.8761 6.8835 Å, 58.80 60.58 60.54°
Fractional coordinates of all 8 atoms:
S: 0.3151 0.8263 0.1738
S: 0.2446 0.7565 0.7557
S: 0.6849 0.1737 0.8262
S: 0.1731 0.3157 0.6855
S: 0.8269 0.6843 0.3145
S: 0.7554 0.2435 0.2443
Ta: 0.0000 0.0000 0.0000
U: 0.5000 0.5000 0.5000